PBE MgCoRh2N, optimized geometry; total magnetic moment = 0.77 μB/cell; raw total energy = -32.558 eV per cell; DOS at the Fermi energy = 3.63 states/eV per cell
1.0
-1.6416 -2.1884 -3.1079
2.7360 -3.0304 0.6887
-2.3498 -1.5857 2.3578
Rh Mg N Co
2 1 1 1
Cartesian
-0.8208 -1.0942 -1.5540
1.3680 -1.5152 0.3443
-0.6277 -3.4023 -0.0307
0.0000 0.0000 0.0000
-1.1749 -0.7929 1.1789